1.
The following is a GGA-PBE calculation of CaHg2 after structural relaxation, from Alexandria.

a b c (Å): 6.192 6.192 6.192
angles (deg): 115.43 115.43 98.12
Fractional positions:
Hg1 0.659 0.159 0.818
Hg2 0.159 0.341 0.500
Hg3 0.341 0.841 0.182
Hg4 0.841 0.659 0.500
Ca1 0.250 0.250 0.000
Ca2 0.750 0.750 0.000

ΔE_f ... -0.295 eV/atom
N(E_F) ... 0.6243 states/eV/atom
Total magnetic moment ... 0.000 μB per atom
Space group ... No. 140

2.
The following is a GGA-PBE calculation of Ba3NaAl2O6 after structural relaxation, from Alexandria.

a b c (Å): 6.050 6.050 7.188
angles (deg): 90.00 90.00 120.00
Fractional positions:
O1 0.826 0.652 0.716
O2 0.348 0.174 0.716
O3 0.174 0.826 0.284
O4 0.174 0.348 0.284
O5 0.652 0.826 0.284
O6 0.826 0.174 0.716
Ba1 0.000 0.000 0.000
Ba2 0.333 0.667 0.663
Ba3 0.667 0.333 0.337
Al1 0.333 0.667 0.226
Al2 0.667 0.333 0.774
Na1 0.000 0.000 0.500

N(E_F) ... 0.2008 states/eV/atom
Total magnetic moment ... 0.048 μB per atom
Space group ... No. 164
Raw formation energy ... -2354.3 meV per atom

3.
The following is a GGA-PBE calculation of CsScRu3 after structural relaxation, from Alexandria.

a b c (Å): 4.852 4.852 4.852
angles (deg): 90.00 90.00 90.00
Fractional positions:
Ru1 0.000 0.000 0.500
Ru2 0.000 0.500 0.000
Ru3 0.500 0.000 0.000
Cs1 0.000 0.000 0.000
Sc1 0.500 0.500 0.500

ΔE_f ... 2.317 eV/atom
N(E_F) ... 1.4912 states/eV/atom
Total magnetic moment ... 0.000 μB per atom
ΔE to the lowest computed polymorph ... 16.06 kcal/mol of atoms
Space group ... No. 221

4.
The following is a GGA-PBE calculation of K3YTh3Te8 after structural relaxation, from Alexandria.

a b c (Å): 8.916 8.912 9.977
angles (deg): 116.52 90.00 120.01
Fractional positions:
Te1 0.236 0.472 0.713
Te2 0.236 0.977 0.713
Te3 0.740 0.977 0.713
Te4 0.764 0.023 0.287
Te5 0.260 0.520 0.279
Te6 0.260 0.023 0.287
Te7 0.740 0.480 0.721
Te8 0.764 0.528 0.287
Th1 0.500 0.500 0.500
Th2 0.000 0.500 0.500
Th3 0.500 0.000 0.500
K1 0.000 0.000 0.000
K2 0.500 0.500 0.000
K3 0.000 0.500 0.000
Y1 0.000 0.000 0.500

N(E_F) ... 0.6043 states/eV/atom
Total magnetic moment ... 0.000 μB per atom
Space group ... No. 166
Raw formation energy ... -1243.2 meV per atom

5.
The following is a GGA-PBE calculation of InSbTe2S after structural relaxation, from Alexandria.

a b c (Å): 5.590 5.590 5.730
angles (deg): 90.00 90.00 90.00
Site moments in Bohr magnetons follow the coordinates.
Fractional positions:
Sb1 0.000 0.000 0.500  -0.09
In1 0.000 0.000 0.000  0.00
S1 0.500 0.500 0.500  0.66
Te1 0.000 0.500 0.000  0.11
Te2 0.500 0.000 0.000  0.11

N(E_F) ... 1.3255 states/eV/atom
Total magnetic moment ... 0.242 μB per atom
ΔE to the lowest computed polymorph ... 13.65 kcal/mol of atoms
Space group ... No. 123
Raw formation energy ... 918.0 meV per atom

6.
The following is a GGA-PBE calculation of KTe2O5 after structural relaxation, from Alexandria.

a b c (Å): 3.197 7.237 7.237
angles (deg): 50.13 77.24 77.24
Site moments in Bohr magnetons follow the coordinates.
Fractional positions:
O1 0.357 0.419 0.867  0.16
O2 0.643 0.133 0.581  0.16
O3 0.643 0.581 0.133  0.16
O4 0.000 0.500 0.500  0.00
O5 0.357 0.867 0.419  0.16
Te1 0.847 0.653 0.653  0.09
Te2 0.153 0.347 0.347  0.09
K1 0.000 0.000 0.000  0.00

N(E_F) ... 0.5367 states/eV/atom
Total magnetic moment ... 0.127 μB per atom
Space group ... No. 71
Raw formation energy ... -946.8 meV per atom

7.
The following is a GGA-PBE calculation of TeIr2S after structural relaxation, from Alexandria.

a b c (Å): 4.862 4.862 7.710
angles (deg): 71.62 71.62 90.00
Fractional positions:
Te1 0.000 0.000 0.000
Te2 0.750 0.250 0.500
Ir1 0.875 0.786 0.750
Ir2 0.214 0.625 0.250
Ir3 0.536 0.125 0.250
Ir4 0.375 0.464 0.750
S1 0.500 0.500 0.000
S2 0.250 0.750 0.500

N(E_F) ... 0.6047 states/eV/atom
Total magnetic moment ... 0.000 μB per atom
ΔE to the lowest computed polymorph ... 0.00 kcal/mol of atoms
Space group ... No. 122
Raw formation energy ... 48.4 meV per atom

8.
The following is a GGA-PBE calculation of TbCe3 after structural relaxation, from Alexandria.

a b c (Å): 4.836 4.836 4.836
angles (deg): 90.00 90.00 90.00
Fractional positions:
Ce1 0.000 0.500 0.500
Ce2 0.500 0.500 0.000
Ce3 0.500 0.000 0.500
Tb1 0.000 0.000 0.000

ΔE_f ... 0.107 eV/atom
N(E_F) ... 3.0312 states/eV/atom
Total magnetic moment ... 0.022 μB per atom
ΔE to the lowest computed polymorph ... 0.12 kcal/mol of atoms
Space group ... No. 221

9.
The following is a GGA-PBE calculation of MgCuPd2 after structural relaxation, from Alexandria.

a b c (Å): 5.780 5.780 5.780
angles (deg): 56.14 152.19 132.28
Fractional positions:
Mg1 0.000 0.000 0.000
Cu1 0.000 0.500 0.500
Pd1 0.000 0.743 0.743
Pd2 0.000 0.257 0.257

ΔE_f ... 0.043 eV/atom
N(E_F) ... 0.7255 states/eV/atom
Total magnetic moment ... 0.000 μB per atom
Space group ... No. 71

10.
The following is a GGA-PBE calculation of Tl2PdPb6 after structural relaxation, from Alexandria.

a b c (Å): 3.643 9.158 9.158
angles (deg): 120.00 90.00 90.00
Fractional positions:
Pb1 0.000 0.752 0.000
Pb2 0.500 0.000 0.361
Pb3 0.500 0.639 0.639
Pb4 0.500 0.361 0.000
Pb5 0.000 0.248 0.248
Pb6 0.000 0.000 0.752
Tl1 0.000 0.333 0.667
Tl2 0.000 0.667 0.333
Pd1 0.500 0.000 0.000

ΔE_f ... -0.061 eV/atom
N(E_F) ... 0.5170 states/eV/atom
Total magnetic moment ... 0.000 μB per atom
Space group ... No. 189

11.
The following is a GGA-PBE calculation of NdScPd after structural relaxation, from Alexandria.

a b c (Å): 3.952 4.636 4.636
angles (deg): 120.00 90.00 90.00
Fractional positions:
Pd1 0.108 0.000 0.000
Sc1 0.205 0.333 0.667
Nd1 0.688 0.667 0.333

ΔE_f ... -0.401 eV/atom
N(E_F) ... 0.8214 states/eV/atom
Total magnetic moment ... 0.000 μB per atom
ΔE to the lowest computed polymorph ... 4.26 kcal/mol of atoms
Space group ... No. 156

12.
The following is a GGA-PBE calculation of Cd3SiRu after structural relaxation, from Alexandria.

a b c (Å): 4.946 4.946 4.946
angles (deg): 90.00 90.00 90.00
Site moments in Bohr magnetons follow the coordinates.
Fractional positions:
Cd1 0.500 0.000 0.000  0.00
Cd2 0.000 0.000 0.500  -0.03
Cd3 0.000 0.500 0.000  -0.02
Ru1 0.500 0.500 0.500  1.96
Si1 0.000 0.000 0.000  0.02

N(E_F) ... 0.7623 states/eV/atom
Total magnetic moment ... 0.410 μB per atom
Space group ... No. 221
Raw formation energy ... 1124.2 meV per atom

13.
The following is a GGA-PBE calculation of ZrCdIn3 after structural relaxation, from Alexandria.

a b c (Å): 5.667 5.667 5.667
angles (deg): 90.00 90.00 90.00
Fractional positions:
Cd1 0.500 0.500 0.500
In1 0.000 0.000 0.500
In2 0.000 0.500 0.000
In3 0.500 0.000 0.000
Zr1 0.000 0.000 0.000

ΔE_f ... 0.595 eV/atom
N(E_F) ... 1.1247 states/eV/atom
Total magnetic moment ... 0.000 μB per atom
ΔE to the lowest computed polymorph ... 0.00 kcal/mol of atoms
Space group ... No. 221